# PBE+U SmVO4, optimized geometry
data_SmVO4
_space_group_name_H-M_alt 'P 1'
_space_group_IT_number 1
_cell_length_a 6.849
_cell_length_b 6.849
_cell_length_c 6.849
_cell_angle_alpha 135.77
_cell_angle_beta 135.77
_cell_angle_gamma 64.34
loop_
_space_group_symop_operation_xyz
'x,y,z'
loop_
_atom_site_label
_atom_site_type_symbol
_atom_site_fract_x
_atom_site_fract_y
_atom_site_fract_z
_atom_site_occupancy
Sm1 Sm 0.250 0.750 0.500 1
Sm2 Sm 0.500 0.500 0.000 1
V1 V 0.000 0.000 0.000 1
V2 V 0.750 0.250 0.500 1
O1 O 0.811 0.918 0.388 1
O2 O 0.668 0.779 0.606 1
O3 O 0.082 0.471 0.894 1
O4 O 0.939 0.332 0.112 1
O5 O 0.221 0.827 0.888 1
O6 O 0.529 0.423 0.612 1
O7 O 0.173 0.061 0.394 1
O8 O 0.577 0.189 0.106 1
# space group	I4_1/a, No. 88
# volume	154.2	Å³/cell
# electronic total energy	-48.12	eV per formula unit
# magnetization	0.000	μB/atom